{"formula": "La2VClF", "functional": "PBE+U", "state": "optimized geometry", "lattice_angstrom": [[5.807, 0.000, 0.000], [0.000, 4.019, 0.000], [0.000, 0.000, 5.807]], "species": ["F", "La", "La", "V", "Cl"], "fractional_positions": [[0.000, 0.500, 0.000], [0.000, 0.000, 0.500], [0.500, 0.000, 0.000], [0.000, 0.000, 0.000], [0.500, 0.500, 0.500]], "spacegroup": "P4/mmm", "final_energy_ev_per_atom": -4.799}